(1)
The following is a GGA-PBE calculation of a relaxed RbZnSnRh2 crystal, from the Alexandria database.

E_tot in eV per atom: -2.49
ρ in Mg/m³: 6.10
Volume in A^3/atom: 25.88
SG: P4/mmm
Total magnetic moment in Bohr magnetons per cell: 0.0
ΔE_f in eV per atom: 1.701

Cell lengths 4.923, 4.923, 5.339 Å; angles 90.00, 90.00, 90.00 degrees
Fractional positions:
Rb1 0.000 0.000 0.000
Zn1 0.000 0.000 0.500
Sn1 0.500 0.500 0.500
Rh1 0.000 0.500 0.000
Rh2 0.500 0.000 0.000

---

(2)
The following is a GGA-PBE calculation of a relaxed KGaSi crystal, from the Alexandria database.

E_tot in eV per atom: -3.04
ρ in Mg/m³: 2.60
Volume in A^3/atom: 29.17
Uncorrected formation energy in eV/atom: 0.14
SG: Pmma
Total magnetic moment in Bohr magnetons per cell: 0.0

Cell lengths 6.961, 5.892, 4.267 Å; angles 90.00, 90.00, 90.00 degrees
Fractional positions:
K1 0.250 0.000 0.231
K2 0.750 0.000 0.769
Ga1 0.000 0.500 0.000
Ga2 0.500 0.500 0.000
Si1 0.250 0.500 0.616
Si2 0.750 0.500 0.384

---

(3)
The following is a GGA-PBE calculation of a relaxed ScTaFe3 crystal, from the Alexandria database.

E_tot in eV per atom: -7.72
ρ in Mg/m³: 7.05
Volume in A^3/atom: 18.54
Energy above the lowest structure with this stoichiometry in eV per atom: 0.000
SG: Pm-3m
Total magnetic moment in Bohr magnetons per cell: 4.2
ΔE_f in eV per atom: 0.995

Cell lengths 4.526, 4.526, 4.526 Å; angles 90.00, 90.00, 90.00 degrees
Fractional positions:
Sc1 0.000 0.000 0.000
Ta1 0.500 0.500 0.500
Fe1 0.000 0.500 0.500
Fe2 0.500 0.000 0.500
Fe3 0.500 0.500 0.000

---

(4)
The following is a GGA-PBE calculation of a relaxed KAuI3 crystal, from the Alexandria database.

E_tot in eV per atom: -2.16
ρ in Mg/m³: 3.67
Volume in A^3/atom: 55.75
Uncorrected formation energy in eV/atom: -0.36
SG: I-4m2
Total magnetic moment in Bohr magnetons per cell: 0.0

Cell lengths 16.534, 16.534, 16.534 Å; angles 159.43, 159.43, 29.25 degrees
Fractional positions:
K1 0.000 0.000 0.000
K2 0.750 0.250 0.500
Au1 0.207 0.707 0.500
Au2 0.293 0.793 0.500
I1 0.303 0.303 0.000
I2 0.347 0.096 0.251
I3 0.697 0.697 0.000
I4 0.845 0.096 0.749
I5 0.904 0.155 0.251
I6 0.904 0.653 0.749

---

(5)
The following is a GGA-PBE calculation of a relaxed V2ZnCo2 crystal, from the Alexandria database.

E_tot in eV per atom: -6.69
ρ in Mg/m³: 7.38
Volume in A^3/atom: 12.83
SG: P4/mbm
Total magnetic moment in Bohr magnetons per cell: 0.0
ΔE_f in eV per atom: 0.057

Cell lengths 7.060, 7.060, 2.574 Å; angles 90.00, 90.00, 90.00 degrees
Fractional positions:
V1 0.152 0.348 0.000
V2 0.348 0.848 0.000
V3 0.652 0.152 0.000
V4 0.848 0.652 0.000
Zn1 0.000 0.000 0.000
Zn2 0.500 0.500 0.000
Co1 0.139 0.639 0.500
Co2 0.361 0.139 0.500
Co3 0.639 0.861 0.500
Co4 0.861 0.361 0.500

---

(6)
The following is a GGA-PBE calculation of a relaxed Hf2GaO crystal, from the Alexandria database.

E_tot in eV per atom: -7.45
ρ in Mg/m³: 11.43
Volume in A^3/atom: 16.07
Energy above the lowest structure with this stoichiometry in eV per atom: 0.525
Uncorrected formation energy in eV/atom: -0.48
SG: Fm-3m
Total magnetic moment in Bohr magnetons per cell: 0.0

Cell lengths 4.497, 4.497, 4.497 Å; angles 60.00, 60.00, 60.00 degrees
Fractional positions:
Hf1 0.250 0.250 0.250
Hf2 0.750 0.750 0.750
Ga1 0.000 0.000 0.000
O1 0.500 0.500 0.500

---

(7)
The following is a GGA-PBE calculation of a relaxed SrLiIr2 crystal, from the Alexandria database.

E_tot in eV per atom: -5.11
ρ in Mg/m³: 10.15
Volume in A^3/atom: 19.58
Energy above the lowest structure with this stoichiometry in eV per atom: 0.139
SG: Imm2
Total magnetic moment in Bohr magnetons per cell: 0.0
ΔE_f in eV per atom: 0.218

Cell lengths 5.992, 5.992, 5.992 Å; angles 151.62, 129.52, 58.93 degrees
Fractional positions:
Sr1 0.000 0.000 0.000
Li1 0.706 0.206 0.500
Ir1 0.276 0.776 0.500
Ir2 0.478 0.478 0.000

---

(8)
The following is a GGA-PBE calculation of a relaxed ScTaZnI2 crystal, from the Alexandria database.

E_tot in eV per atom: -3.68
ρ in Mg/m³: 5.11
Volume in A^3/atom: 35.43
Uncorrected formation energy in eV/atom: 0.83
SG: P4/mmm
Total magnetic moment in Bohr magnetons per cell: 3.3

Cell lengths 5.654, 5.654, 5.541 Å; angles 90.00, 90.00, 90.00 degrees
Fractional positions:
Sc1 0.000 0.000 0.000
Ta1 0.000 0.000 0.500
Zn1 0.500 0.500 0.500
I1 0.000 0.500 0.000
I2 0.500 0.000 0.000